Below is crystalline Mn2CoSnPt at its relaxed geometry, with properties calculated at the PBE level.

Cell lengths 4.851, 4.851, 4.736 Å; angles 90.00, 90.00, 90.00 degrees
Atoms (fractional coordinates):
Mn: 0.000 0.500 0.000
Mn: 0.500 0.000 0.000
Co: 0.000 0.000 0.500
Sn: 0.500 0.500 0.500
Pt: 0.000 0.000 0.000

The calculation puts the calculated density at 7.19 g/cm³. As for the total magnetization: 10.5 μB/cell. The formation energy from the elements comes out at 67.8 kJ per mole of atoms.

Below is crystalline TaMnCoPt at its relaxed geometry, with properties calculated at the PBE level.

Cell lengths 3.693, 3.839, 3.906 Å; angles 90.00, 90.00, 90.00 degrees
Atoms (fractional coordinates):
Ta: 0.000 0.000 0.000
Mn: 0.500 0.000 0.500
Co: 0.500 0.500 0.000
Pt: 0.000 0.500 0.500

The calculation puts the calculated density at 14.69 g/cm³. As for the total magnetization: 2.3 μB/cell. The formation energy from the elements comes out at -36.4 kJ per mole of atoms.

Below is crystalline MnCoTcPt at its relaxed geometry, with properties calculated at the PBE level.

Cell lengths 4.244, 4.244, 4.244 Å; angles 60.00, 60.00, 60.00 degrees
Atoms (fractional coordinates):
Mn: 0.000 0.000 0.000
Co: 0.500 0.500 0.500
Tc: 0.750 0.750 0.750
Pt: 0.250 0.250 0.250

The calculation puts the calculated density at 12.50 g/cm³. As for the total magnetization: 4.5 μB/cell. The formation energy from the elements comes out at 5.6 kJ per mole of atoms.

Below is crystalline Ti5MnCo2Pt2 at its relaxed geometry, with properties calculated at the PBE level.

Cell lengths 9.949, 9.949, 2.936 Å; angles 90.00, 90.00, 90.00 degrees
Atoms (fractional coordinates):
Ti: 0.000 0.500 0.000
Ti: 0.075 0.191 0.000
Ti: 0.191 0.925 0.000
Ti: 0.309 0.425 0.000
Ti: 0.425 0.691 0.000
Ti: 0.500 0.000 0.000
Ti: 0.575 0.309 0.000
Ti: 0.691 0.575 0.000
Ti: 0.809 0.075 0.000
Ti: 0.925 0.809 0.000
Mn: 0.000 0.000 0.500
Mn: 0.500 0.500 0.500
Co: 0.130 0.370 0.500
Co: 0.370 0.870 0.500
Co: 0.630 0.130 0.500
Co: 0.870 0.630 0.500
Pt: 0.170 0.670 0.500
Pt: 0.330 0.170 0.500
Pt: 0.670 0.830 0.500
Pt: 0.830 0.330 0.500

The calculation puts the calculated density at 9.17 g/cm³. As for the total magnetization: 0.0 μB/cell. The formation energy from the elements comes out at -36.9 kJ per mole of atoms.

Below is crystalline MnTlCo2Pt at its relaxed geometry, with properties calculated at the PBE level.

Cell lengths 4.164, 4.164, 4.919 Å; angles 90.00, 90.00, 90.00 degrees
Atoms (fractional coordinates):
Mn: 0.000 0.000 0.000
Tl: 0.000 0.000 0.500
Co: 0.000 0.500 0.000
Co: 0.500 0.000 0.000
Pt: 0.500 0.500 0.500

The calculation puts the calculated density at 11.15 g/cm³. As for the total magnetization: 1.2 μB/cell. The formation energy from the elements comes out at 115.7 kJ per mole of atoms.

Below is crystalline UMnCoPt at its relaxed geometry, with properties calculated at the PBE level.

Cell lengths 4.426, 4.426, 4.426 Å; angles 60.00, 60.00, 60.00 degrees
Atoms (fractional coordinates):
U: 0.000 0.000 0.000
Mn: 0.750 0.750 0.750
Co: 0.250 0.250 0.250
Pt: 0.500 0.500 0.500

The calculation puts the calculated density at 14.82 g/cm³. As for the total magnetization: 1.6 μB/cell. The formation energy from the elements comes out at -14.8 kJ per mole of atoms.

Below is crystalline MnVCoPt at its relaxed geometry, with properties calculated at the PBE level.

Cell lengths 3.664, 3.731, 3.735 Å; angles 90.00, 90.00, 90.00 degrees
Atoms (fractional coordinates):
Mn: 0.000 0.000 0.000
V: 0.500 0.500 0.000
Co: 0.000 0.500 0.500
Pt: 0.500 0.000 0.500

The calculation puts the calculated density at 11.71 g/cm³. As for the total magnetization: 1.5 μB/cell. The formation energy from the elements comes out at -31.3 kJ per mole of atoms.

Below is crystalline MnCo2PtW at its relaxed geometry, with properties calculated at the PBE level.

Cell lengths 4.158, 4.158, 4.418 Å; angles 90.00, 90.00, 90.00 degrees
Atoms (fractional coordinates):
Mn: 0.000 0.000 0.000
Co: 0.000 0.500 0.000
Co: 0.500 0.000 0.000
Pt: 0.500 0.500 0.500
W: 0.000 0.000 0.500

The calculation puts the calculated density at 12.00 g/cm³. As for the total magnetization: 2.3 μB/cell. The formation energy from the elements comes out at 114.2 kJ per mole of atoms.

Below is crystalline ZrMnCoPt at its relaxed geometry, with properties calculated at the PBE level.

Cell lengths 4.482, 4.482, 4.482 Å; angles 60.00, 60.00, 60.00 degrees
Atoms (fractional coordinates):
Zr: 0.000 0.000 0.000
Mn: 0.500 0.500 0.500
Co: 0.250 0.250 0.250
Pt: 0.750 0.750 0.750

The calculation puts the calculated density at 10.44 g/cm³. As for the total magnetization: 5.4 μB/cell. The formation energy from the elements comes out at -39.4 kJ per mole of atoms.

Below is crystalline Pu3MnCo8 at its relaxed geometry, with properties calculated at the PBE level.

Cell lengths 8.563, 8.563, 8.563 Å; angles 33.52, 33.52, 33.52 degrees
Atoms (fractional coordinates):
Pu: 0.000 0.000 0.000
Pu: 0.127 0.127 0.127
Pu: 0.622 0.622 0.622
Mn: 0.499 0.499 0.499
Co: 0.061 0.061 0.557
Co: 0.061 0.557 0.061
Co: 0.070 0.563 0.563
Co: 0.312 0.312 0.312
Co: 0.557 0.061 0.061
Co: 0.563 0.070 0.563
Co: 0.563 0.563 0.070
Co: 0.812 0.812 0.812

The calculation puts the calculated density at 12.25 g/cm³. As for the total magnetization: 11.0 μB/cell. The formation energy from the elements comes out at -4.9 kJ per mole of atoms.

Below is crystalline PuMn2Co at its relaxed geometry, with properties calculated at the PBE level.

Cell lengths 3.894, 3.894, 3.881 Å; angles 90.00, 90.00, 90.00 degrees
Atoms (fractional coordinates):
Pu: 0.000 0.000 0.000
Mn: 0.000 0.500 0.500
Mn: 0.500 0.000 0.500
Co: 0.500 0.500 0.000

The energy above the most stable polymorph in this dataset is 0 meV per atom. The calculation puts the calculated density at 11.65 g/cm³. As for the total magnetization: 2.5 μB/cell. The formation energy from the elements comes out at 0.8 kJ per mole of atoms.

Below is crystalline Pu2MnCo at its relaxed geometry, with properties calculated at the PBE level.

Cell lengths 9.881, 9.881, 9.881 Å; angles 16.75, 16.75, 16.75 degrees
Atoms (fractional coordinates):
Pu: 0.084 0.084 0.084
Pu: 0.916 0.916 0.916
Mn: 0.500 0.500 0.500
Co: 0.000 0.000 0.000

The calculation puts the calculated density at 14.31 g/cm³. As for the total magnetization: 6.7 μB/cell. The formation energy from the elements comes out at 51.0 kJ per mole of atoms.